First-principles (GGA-PBE) data for crystalline Ta2Cl at its relaxed geometry, as listed in Alexandria via LeMat-Bulk.

Cell and atoms, written as POSCAR:
```
Ta2Cl
1.0
8.728 -1.436 0.000
8.728 1.436 0.000
-0.858 0.000 5.487
Ta Cl
4 2
Direct
0.183 0.183 0.082
0.188 0.188 0.599
0.812 0.812 0.401
0.817 0.817 0.918
0.415 0.415 0.702
0.585 0.585 0.298
```

* polymorph energy (0 for the lowest one): 0.25 eV/f.u.
* formation energy (no corrections): 0.00 eV per formula unit
* total magnetization: 0.00 μB/atom